# 1
# CsNaI

A geometry-optimized CsNaI structure (GGA-PBE, the Alexandria database).

Unit cell a=6.590 b=5.139 c=10.218 alpha=90.00 beta=108.78 gamma=90.00
Sites, in units of the cell vectors:
Cs: 0.000 0.000 0.000
Cs: 0.298 0.000 0.601
Na: 0.482 0.500 0.965
Na: 0.657 0.500 0.319
I: 0.150 0.500 0.306
I: 0.821 0.500 0.649

Calculated values
The space group is No. 6. The calculation puts the distance to the lowest polymorph of the same formula at 80 meV/atom. Its formation energy from raw total energies is -0.849 eV per atom. The value obtained for the density of states at the Fermi level is 0.326 states/eV/atom.

***

# 2
# Cs2Na2I

A geometry-optimized Cs2Na2I structure (GGA-PBE, the Alexandria database).

Unit cell a=9.695 b=9.695 c=6.239 alpha=90.00 beta=90.00 gamma=90.00
Sites, in units of the cell vectors:
Cs: 0.190 0.310 0.000
Cs: 0.310 0.810 0.000
Cs: 0.690 0.190 0.000
Cs: 0.810 0.690 0.000
Na: 0.120 0.620 0.500
Na: 0.380 0.120 0.500
Na: 0.620 0.880 0.500
Na: 0.880 0.380 0.500
I: 0.000 0.000 0.500
I: 0.500 0.500 0.500

Calculated values
The space group is No. 127. Its formation energy from raw total energies is -0.373 eV per atom. The value obtained for the density of states at the Fermi level is 1.102 states/eV/atom.

***

# 3
# Cs2NaI2

A geometry-optimized Cs2NaI2 structure (GGA-PBE, the Alexandria database).

Unit cell a=10.432 b=10.432 c=4.962 alpha=90.00 beta=90.00 gamma=90.00
Sites, in units of the cell vectors:
Cs: 0.148 0.352 0.000
Cs: 0.352 0.852 0.000
Cs: 0.648 0.148 0.000
Cs: 0.852 0.648 0.000
Na: 0.000 0.000 0.500
Na: 0.500 0.500 0.500
I: 0.154 0.654 0.500
I: 0.346 0.154 0.500
I: 0.654 0.846 0.500
I: 0.846 0.346 0.500

Calculated values
The space group is No. 127. The calculation puts the distance to the lowest polymorph of the same formula at 0 meV/atom. Its formation energy from raw total energies is -1.082 eV per atom. The value obtained for the density of states at the Fermi level is 0.414 states/eV/atom.

***

# 4
# CsNaI

A geometry-optimized CsNaI structure (GGA-PBE, the Alexandria database).

Unit cell a=5.479 b=11.815 c=5.329 alpha=90.00 beta=90.00 gamma=90.00
Sites, in units of the cell vectors:
Cs: 0.000 0.176 0.000
Cs: 0.500 0.824 0.500
Na: 0.000 0.564 0.004
Na: 0.500 0.436 0.504
I: 0.000 0.840 0.000
I: 0.500 0.160 0.500

Calculated values
The space group is No. 31. The calculation puts the distance to the lowest polymorph of the same formula at 0 meV/atom. Its formation energy from raw total energies is -0.929 eV per atom. The value obtained for the density of states at the Fermi level is 0.230 states/eV/atom.

***

# 5
# CsNa3I4

A geometry-optimized CsNa3I4 structure (GGA-PBE, the Alexandria database).

Unit cell a=8.492 b=8.492 c=4.833 alpha=90.37 beta=90.37 gamma=70.83
Sites, in units of the cell vectors:
Cs: 0.000 0.000 0.000
Na: 0.000 0.500 0.500
Na: 0.500 0.000 0.500
Na: 0.500 0.500 0.000
I: 0.266 0.266 0.992
I: 0.283 0.717 0.500
I: 0.717 0.283 0.500
I: 0.734 0.734 0.008

Calculated values
The space group is No. 12. Its formation energy from raw total energies is -1.280 eV per atom. The value obtained for the density of states at the Fermi level is 0.000 states/eV/atom.

***

# 6
# Cs2NaI2

A geometry-optimized Cs2NaI2 structure (GGA-PBE, the Alexandria database).

Unit cell a=8.812 b=8.812 c=8.812 alpha=131.32 beta=131.32 gamma=71.30
Sites, in units of the cell vectors:
Cs: 0.180 0.180 0.000
Cs: 0.820 0.820 0.000
Na: 0.500 0.500 0.000
I: 0.250 0.750 0.500
I: 0.750 0.250 0.500

Calculated values
The space group is No. 139. The calculation puts the distance to the lowest polymorph of the same formula at 145 meV/atom. Its formation energy from raw total energies is -0.937 eV per atom. The value obtained for the density of states at the Fermi level is 0.756 states/eV/atom.

***

# 7
# Cs2NaI2

A geometry-optimized Cs2NaI2 structure (GGA-PBE, the Alexandria database).

Unit cell a=10.997 b=10.997 c=4.553 alpha=90.00 beta=90.00 gamma=90.00
Sites, in units of the cell vectors:
Cs: 0.144 0.356 0.000
Cs: 0.356 0.856 0.000
Cs: 0.644 0.144 0.000
Cs: 0.856 0.644 0.000
Na: 0.000 0.000 0.000
Na: 0.500 0.500 0.000
I: 0.152 0.652 0.500
I: 0.348 0.152 0.500
I: 0.652 0.848 0.500
I: 0.848 0.348 0.500

Calculated values
The space group is No. 127. The calculation puts the distance to the lowest polymorph of the same formula at 64 meV/atom. Its formation energy from raw total energies is -1.019 eV per atom. The value obtained for the density of states at the Fermi level is 0.328 states/eV/atom.

***

# 8
# CsNaI

A geometry-optimized CsNaI structure (GGA-PBE, the Alexandria database).

Unit cell a=4.702 b=8.868 c=8.868 alpha=113.09 beta=90.00 gamma=90.00
Sites, in units of the cell vectors:
Cs: 0.000 0.191 0.809
Cs: 0.000 0.809 0.191
Na: 0.000 0.413 0.413
Na: 0.500 0.712 0.712
I: 0.500 0.163 0.454
I: 0.500 0.454 0.163

Calculated values
The space group is No. 38. The calculation puts the distance to the lowest polymorph of the same formula at 68 meV/atom. Its formation energy from raw total energies is -0.860 eV per atom. The value obtained for the density of states at the Fermi level is 0.321 states/eV/atom.

***

# 9
# CsNaI

A geometry-optimized CsNaI structure (GGA-PBE, the Alexandria database).

Unit cell a=8.623 b=4.639 c=10.445 alpha=90.00 beta=114.29 gamma=90.00
Sites, in units of the cell vectors:
Cs: 0.000 0.000 0.000
Cs: 0.252 0.000 0.503
Na: 0.644 0.000 0.288
Na: 0.804 0.500 0.605
I: 0.371 0.500 0.241
I: 0.872 0.500 0.243

Calculated values
The space group is No. 6. The calculation puts the distance to the lowest polymorph of the same formula at 95 meV/atom. Its formation energy from raw total energies is -0.834 eV per atom. The value obtained for the density of states at the Fermi level is 0.232 states/eV/atom.

***

# 10
# CsNaI

A geometry-optimized CsNaI structure (GGA-PBE, the Alexandria database).

Unit cell a=5.730 b=5.231 c=12.072 alpha=90.00 beta=103.65 gamma=90.00
Sites, in units of the cell vectors:
Cs: 0.000 0.000 0.000
Cs: 0.236 0.500 0.485
Na: 0.644 0.000 0.301
Na: 0.791 0.000 0.594
I: 0.558 0.500 0.117
I: 0.870 0.500 0.748

Calculated values
The space group is No. 6. The calculation puts the distance to the lowest polymorph of the same formula at 81 meV/atom. Its formation energy from raw total energies is -0.848 eV per atom. The value obtained for the density of states at the Fermi level is 0.087 states/eV/atom.

***

# 11
# CsNaI

A geometry-optimized CsNaI structure (GGA-PBE, the Alexandria database).

Unit cell a=5.756 b=5.756 c=5.574 alpha=90.00 beta=90.00 gamma=120.00
Sites, in units of the cell vectors:
Cs: 0.000 0.000 0.000
Na: 0.333 0.667 0.500
I: 0.667 0.333 0.501

Calculated values
The space group is No. 156. The calculation puts the distance to the lowest polymorph of the same formula at 181 meV/atom. Its formation energy from raw total energies is -0.747 eV per atom. The value obtained for the density of states at the Fermi level is 0.731 states/eV/atom.

***

# 12
# Cs4NaI5

A geometry-optimized Cs4NaI5 structure (GGA-PBE, the Alexandria database).

Unit cell a=19.273 b=19.273 c=19.273 alpha=163.72 beta=163.72 gamma=23.10
Sites, in units of the cell vectors:
Cs: 0.097 0.097 0.000
Cs: 0.304 0.304 0.000
Cs: 0.696 0.696 0.000
Cs: 0.903 0.903 0.000
Na: 0.500 0.500 0.000
I: 0.000 0.000 0.000
I: 0.200 0.200 0.000
I: 0.412 0.412 0.000
I: 0.588 0.588 0.000
I: 0.800 0.800 0.000

Calculated values
The space group is No. 139. The calculation puts the distance to the lowest polymorph of the same formula at 13 meV/atom. Its formation energy from raw total energies is -1.451 eV per atom. The value obtained for the density of states at the Fermi level is 0.000 states/eV/atom.